Entry 1:
InMoH2Pd | GGA-PBEsol | optimized geometry

POSCAR file:
```
InMoH2Pd
1.0
3.698 0.000 0.000
0.000 3.698 0.000
0.000 0.000 5.160
H Mo Pd In
2 1 1 1
Direct
0.000 0.500 0.000
0.500 0.000 0.000
0.500 0.500 0.500
0.000 0.000 0.000
0.000 0.000 0.500
```

## Properties
DOS(E_F) = 0.412 states/eV/atom
calculated volume = 71 Å³ per cell
E = -4.623 eV/atom

Entry 2:
In2HN | GGA-PBEsol | optimized geometry

POSCAR file:
```
In2HN
1.0
4.574 0.000 0.000
0.000 4.574 0.000
-2.287 -2.287 5.922
H N In
2 2 4
Direct
0.750 0.250 0.500
0.500 0.500 0.000
0.250 0.750 0.500
0.000 0.000 0.000
0.862 0.375 0.250
0.388 0.875 0.250
0.625 0.612 0.750
0.125 0.138 0.750
```

## Properties
DOS(E_F) = 0.062 states/eV/atom
calculated volume = 124 Å³ per cell
E = -4.081 eV/atom

Entry 3:
InP2H9N2O8 | GGA-PBEsol | optimized geometry

POSCAR file:
```
InP2H9N2O8
1.0
6.670 -0.135 0.000
-0.454 6.657 0.000
-3.108 -3.261 8.875
In P H N O
2 4 18 4 16
Direct
0.610 0.891 0.250
0.860 0.641 0.750
0.864 0.106 0.651
0.713 0.455 0.349
0.046 0.788 0.151
0.395 0.637 0.849
0.412 0.760 0.632
0.428 0.873 0.502
0.223 0.229 0.528
0.254 0.944 0.598
0.156 0.346 0.402
0.195 0.701 0.472
0.427 0.371 0.498
0.280 0.128 0.368
0.974 0.527 0.250
0.373 0.221 0.132
0.130 0.074 0.001
0.800 0.306 0.028
0.155 0.345 0.098
0.557 0.247 0.902
0.272 0.278 0.972
0.628 0.073 0.999
0.740 0.089 0.868
0.224 0.276 0.750
0.325 0.821 0.550
0.275 0.271 0.450
0.230 0.226 0.050
0.680 0.176 0.950
0.828 0.321 0.744
0.854 0.960 0.745
0.095 0.138 0.641
0.701 0.514 0.507
0.693 0.007 0.493
0.955 0.497 0.359
0.584 0.577 0.256
0.609 0.215 0.255
0.924 0.916 0.244
0.286 0.892 0.245
0.004 0.546 0.141
0.494 0.807 0.007
0.987 0.800 0.993
0.363 0.406 0.859
0.179 0.672 0.756
0.541 0.647 0.755
```

## Properties
DOS(E_F) = 0.000 states/eV/atom
calculated volume = 394 Å³ per cell
E = -6.047 eV/atom

Entry 4:
InHPdN2 | GGA-PBEsol | optimized geometry

POSCAR file:
```
InHPdN2
1.0
-2.509 -0.758 1.952
1.942 -3.336 1.201
1.714 2.082 3.012
H N Pd In
1 2 1 1
Direct
0.500 0.000 0.000
0.000 0.000 0.500
0.000 0.500 0.000
0.000 0.000 0.000
0.500 0.500 0.500
```

## Properties
DOS(E_F) = 0.685 states/eV/atom
calculated volume = 53 Å³ per cell
E = -5.039 eV/atom

Entry 5:
InHSeN2 | GGA-PBEsol | optimized geometry

POSCAR file:
```
InHSeN2
1.0
4.163 0.000 0.000
0.000 4.163 0.000
0.000 0.000 5.653
H N Se In
1 2 1 1
Direct
0.500 0.500 0.500
0.000 0.500 0.000
0.500 0.000 0.000
0.000 0.000 0.500
0.000 0.000 0.000
```

## Properties
DOS(E_F) = 0.509 states/eV/atom
calculated volume = 98 Å³ per cell
E = -3.471 eV/atom

Entry 6:
Na2InH | GGA-PBEsol | optimized geometry

POSCAR file:
```
Na2InH
1.0
6.251 0.021 -0.030
-2.879 5.549 0.030
2.879 2.062 5.152
Na H In
4 2 2
Direct
0.143 0.518 0.125
0.857 0.732 0.625
0.357 0.625 0.518
0.643 0.125 0.732
0.000 0.500 0.500
0.500 0.750 0.750
0.000 0.000 0.000
0.500 0.250 0.250
```

## Properties
DOS(E_F) = 0.170 states/eV/atom
calculated volume = 179 Å³ per cell
E = -2.210 eV/atom

Entry 7:
NaNb2InH | GGA-PBEsol | optimized geometry

POSCAR file:
```
NaNb2InH
1.0
-1.635 -0.032 2.648
0.277 -5.228 0.109
4.447 0.292 2.750
Na Nb H In
1 2 1 1
Direct
0.000 0.000 0.000
0.000 0.000 0.500
0.000 0.500 0.000
0.500 0.000 0.000
0.500 0.500 0.500
```

## Properties
DOS(E_F) = 1.162 states/eV/atom
calculated volume = 85 Å³ per cell
E = -4.363 eV/atom

Entry 8:
NaInH12Se2O14 | GGA-PBEsol | optimized geometry

POSCAR file:
```
NaInH12Se2O14
1.0
-5.768 -0.078 -4.282
-0.205 -6.041 3.887
-5.532 6.819 8.736
Na In H Se O
2 2 24 4 28
Direct
0.919 0.581 0.750
0.081 0.419 0.250
0.500 0.000 0.500
0.500 0.000 0.000
0.918 0.676 0.507
0.082 0.324 0.493
0.778 0.211 0.880
0.222 0.789 0.120
0.785 0.983 0.169
0.215 0.017 0.831
0.751 0.688 0.579
0.249 0.312 0.421
0.517 0.715 0.331
0.483 0.285 0.669
0.289 0.723 0.620
0.711 0.277 0.380
0.894 0.243 0.003
0.106 0.757 0.997
0.811 0.749 0.921
0.189 0.251 0.079
0.735 0.840 0.380
0.265 0.160 0.620
0.823 0.582 0.993
0.177 0.418 0.007
0.743 0.393 0.503
0.257 0.607 0.497
0.659 0.765 0.120
0.341 0.235 0.880
0.427 0.602 0.810
0.573 0.398 0.190
0.898 0.073 0.690
0.102 0.927 0.310
0.563 0.513 0.731
0.437 0.487 0.269
0.657 0.907 0.128
0.343 0.093 0.872
0.262 0.678 0.741
0.738 0.322 0.259
0.705 0.918 0.612
0.295 0.082 0.388
0.822 0.238 0.759
0.178 0.762 0.241
0.593 0.842 0.372
0.407 0.158 0.628
0.988 0.937 0.768
0.012 0.063 0.232
0.938 0.811 0.390
0.062 0.189 0.610
0.758 0.212 0.961
0.242 0.788 0.039
0.312 0.438 0.890
0.688 0.562 0.110
0.833 0.603 0.560
0.167 0.397 0.440
0.582 0.795 0.888
0.418 0.205 0.112
0.897 0.666 0.940
0.103 0.334 0.060
0.288 0.742 0.539
0.712 0.258 0.461
```

## Properties
DOS(E_F) = 0.000 states/eV/atom
calculated volume = 608 Å³ per cell
E = -5.237 eV/atom

Entry 9:
Nb2InH2 | GGA-PBEsol | optimized geometry

POSCAR file:
```
Nb2InH2
1.0
3.608 0.000 0.000
0.000 3.608 0.000
-1.804 -1.804 4.694
H Nb In
2 2 1
Direct
0.250 0.750 0.500
0.750 0.250 0.500
0.332 0.332 0.664
0.668 0.668 0.336
0.000 0.000 0.000
```

## Properties
DOS(E_F) = 0.610 states/eV/atom
calculated volume = 61 Å³ per cell
E = -6.423 eV/atom

Entry 10:
InNi2H | GGA-PBEsol | optimized geometry

POSCAR file:
```
InNi2H
1.0
-3.021 1.566 -3.559
-0.107 -4.844 0.879
-1.097 1.564 4.539
Ni H In
4 2 2
Direct
0.172 0.875 0.547
0.828 0.375 0.703
0.328 0.453 0.625
0.672 0.297 0.125
0.000 0.500 0.500
0.500 0.250 0.750
0.000 0.000 0.000
0.500 0.750 0.250
```

## Properties
DOS(E_F) = 0.417 states/eV/atom
calculated volume = 89 Å³ per cell
E = -4.731 eV/atom

Entry 11:
In2NiH | GGA-PBEsol | optimized geometry

POSCAR file:
```
In2NiH
1.0
4.366 0.000 0.000
2.183 3.781 0.000
2.183 1.260 3.565
Ni H In
1 1 2
Direct
0.500 0.500 0.500
0.000 0.000 0.000
0.250 0.250 0.250
0.750 0.750 0.750
```

## Properties
DOS(E_F) = 0.365 states/eV/atom
calculated volume = 59 Å³ per cell
E = -3.534 eV/atom

Entry 12:
InNi3H | GGA-PBEsol | optimized geometry

POSCAR file:
```
InNi3H
1.0
-0.768 -3.222 -1.679
3.616 -0.509 -0.677
0.357 -1.775 3.242
Ni H In
3 1 1
Direct
0.000 0.500 0.000
0.000 0.000 0.500
0.500 0.000 0.000
0.000 0.000 0.000
0.500 0.500 0.500
```

## Properties
DOS(E_F) = 0.437 states/eV/atom
calculated volume = 51 Å³ per cell
E = -5.161 eV/atom

> Which of these has the highest DOS(E_F)?

NaNb2InH

> The highest calculated volume belongs to which entry?

NaInH12Se2O14

> Among the records above, which one has the lowest E?

Nb2InH2

> What is the formula in the twelfth record?

InNi3H